Record 1
Below is an optimized crystal structure of KNiPt2, with properties calculated at the PBE-GGA level.

Results
ρ   11.56 g/cm³
Formation energy   2.88 eV per formula unit
Density of states at the Fermi level   1.701 states/eV per atom
E   -4.02 eV per atom

a b c (Å): 6.545 6.545 6.545
angles (deg): 90.00 90.00 90.00
Space group Fm-3m (No. 225)
Unique sites:
K (0.000, 0.000, 0.000) x4
Ni (0.000, 0.000, 0.500) x4
Pt (0.250, 0.250, 0.250) x8

---

Record 2
Below is an optimized crystal structure of AlPd3S, with properties calculated at the PBE-GGA level.

Results
ρ   6.86 g/cm³
Density of states at the Fermi level   0.918 states/eV per atom
Formation energy (no corrections)   -12 kJ/mol of formula units
E   -4.71 eV per atom

a b c (Å): 4.507 4.507 4.507
angles (deg): 90.00 90.00 90.00
Space group Pm-3m (No. 221)
Unique sites:
Al (0.000, 0.000, 0.000) x1
Pd (0.000, 0.500, 0.500) x3
S (0.500, 0.500, 0.500) x1

---

Record 3
Below is an optimized crystal structure of ZnRePd, with properties calculated at the PBE-GGA level.

Results
ρ   13.31 g/cm³
Formation energy   0.20 eV per formula unit
Density of states at the Fermi level   0.725 states/eV per atom
E   -6.24 eV per atom

a b c (Å): 2.745 4.796 7.262
angles (deg): 77.65 81.13 74.02
Space group P-1 (No. 2)
Unique sites:
Zn (0.000, 0.000, 0.000) x1
Zn (0.000, 0.500, 0.500) x1
Re (0.375, 0.013, 0.341) x2
Pd (0.332, 0.486, 0.823) x2